Entry 1:
First-principles (GGA-PBE) data for a relaxed MnZn2Rh5 crystal, as listed in Alexandria.

Cell: 3.920 3.920 7.751 Å, 104.65 104.65 90.00°
Atoms (fractional coordinates):
Mn1 0.000 0.000 0.000
Zn1 0.751 0.751 0.502
Zn2 0.249 0.249 0.498
Rh1 0.500 0.500 0.000
Rh2 0.875 0.375 0.749
Rh3 0.375 0.875 0.749
Rh4 0.125 0.625 0.251
Rh5 0.625 0.125 0.251

Properties
Its formation energy is -0.217 eV/atom. The space group is No. 139.

---

Entry 2:
First-principles (GGA-PBE) data for a relaxed LiMg2Os crystal, as listed in Alexandria.

Cell: 5.553 5.553 5.553 Å, 150.04 129.65 59.70°
Atoms (fractional coordinates):
Li1 0.736 0.236 0.500
Mg1 0.993 0.993 0.000
Mg2 0.265 0.765 0.500
Os1 0.506 0.506 0.000

Properties
Its formation energy is 0.188 eV/atom. The space group is No. 44.

---

Entry 3:
First-principles (GGA-PBE) data for a relaxed Tl2SnHAu crystal, as listed in Alexandria.

Cell: 5.834 5.834 3.507 Å, 90.00 90.00 90.00°
Atoms (fractional coordinates):
H1 0.000 0.000 0.500
Tl1 0.000 0.500 0.000
Tl2 0.500 0.000 0.000
Au1 0.000 0.000 0.000
Sn1 0.500 0.500 0.500

Properties
The total DFT energy (no corrections) is -2.97 eV per atom. The space group is No. 123.

---

Entry 4:
First-principles (GGA-PBE) data for a relaxed Sn2GePd crystal, as listed in Alexandria.

Cell: 3.837 3.837 7.373 Å, 74.92 74.92 60.00°
Atoms (fractional coordinates):
Ge1 0.000 0.000 0.000
Sn1 0.245 0.245 0.266
Sn2 0.755 0.755 0.734
Pd1 0.500 0.500 0.500

Properties
Its formation energy is -0.082 eV/atom. The space group is No. 166.

---

Entry 5:
First-principles (GGA-PBE) data for a relaxed Tl3In3Sn8 crystal, as listed in Alexandria.

Cell: 5.068 9.392 9.392 Å, 80.52 74.35 74.35°
Atoms (fractional coordinates):
Tl1 0.500 0.500 0.500
Tl2 0.776 0.224 0.224
Tl3 0.224 0.776 0.776
In1 0.500 0.000 0.000
In2 0.000 0.852 0.148
In3 0.000 0.148 0.852
Sn1 0.652 0.062 0.633
Sn2 0.348 0.938 0.367
Sn3 0.652 0.633 0.062
Sn4 0.348 0.367 0.938
Sn5 0.871 0.762 0.495
Sn6 0.129 0.238 0.505
Sn7 0.871 0.495 0.762
Sn8 0.129 0.505 0.238

Properties
Its formation energy is 0.034 eV/atom. The space group is No. 71.

---

Entry 6:
First-principles (GGA-PBE) data for a relaxed Sm3Dy4Th crystal, as listed in Alexandria.

Cell: 6.280 7.246 11.541 Å, 90.00 90.00 90.00°
Atoms (fractional coordinates):
Sm1 0.647 0.622 0.000
Sm2 0.975 0.623 0.249
Sm3 0.475 0.377 0.251
Sm4 0.147 0.378 0.500
Sm5 0.475 0.377 0.749
Sm6 0.975 0.623 0.751
Dy1 0.147 0.876 0.000
Dy2 0.648 0.129 0.000
Dy3 0.987 0.126 0.248
Dy4 0.487 0.874 0.252
Dy5 0.148 0.871 0.500
Dy6 0.647 0.124 0.500
Dy7 0.487 0.874 0.748
Dy8 0.987 0.126 0.752
Th1 0.150 0.375 0.000
Th2 0.650 0.625 0.500

Properties
Its formation energy is 0.041 eV/atom. The space group is No. 31.

---

Entry 7:
First-principles (GGA-PBE) data for a relaxed Zr2ScAl2Ir5 crystal, as listed in Alexandria.

Cell: 3.612 9.566 9.566 Å, 90.00 90.00 90.00°
Atoms (fractional coordinates):
Zr1 0.000 0.675 0.175
Zr2 0.000 0.325 0.825
Zr3 0.000 0.175 0.325
Zr4 0.000 0.825 0.675
Sc1 0.000 0.000 0.000
Sc2 0.000 0.500 0.500
Al1 0.000 0.124 0.624
Al2 0.000 0.876 0.376
Al3 0.000 0.624 0.876
Al4 0.000 0.376 0.124
Ir1 0.500 0.209 0.070
Ir2 0.500 0.791 0.930
Ir3 0.500 0.070 0.791
Ir4 0.500 0.709 0.430
Ir5 0.500 0.930 0.209
Ir6 0.500 0.291 0.570
Ir7 0.500 0.570 0.709
Ir8 0.500 0.430 0.291
Ir9 0.500 0.500 0.000
Ir10 0.500 0.000 0.500

Properties
Its formation energy is -0.824 eV/atom. The space group is No. 127.

---

Entry 8:
First-principles (GGA-PBE) data for a relaxed SnHPd3 crystal, as listed in Alexandria.

Cell: 7.569 7.569 7.569 Å, 60.00 60.00 60.00°
Atoms (fractional coordinates):
H1 0.125 0.125 0.125
H2 0.125 0.625 0.125
H3 0.625 0.125 0.125
H4 0.125 0.125 0.625
Sn1 0.625 0.625 0.625
Sn2 0.625 0.125 0.625
Sn3 0.125 0.625 0.625
Sn4 0.625 0.625 0.125
Pd1 0.807 0.193 0.193
Pd2 0.057 0.443 0.443
Pd3 0.443 0.443 0.057
Pd4 0.443 0.057 0.057
Pd5 0.057 0.443 0.057
Pd6 0.807 0.193 0.807
Pd7 0.443 0.057 0.443
Pd8 0.057 0.057 0.443
Pd9 0.193 0.807 0.193
Pd10 0.193 0.807 0.807
Pd11 0.193 0.193 0.807
Pd12 0.807 0.807 0.193

Properties
The total DFT energy (no corrections) is -4.85 eV per atom. The space group is No. 227.

---

| no. | DOS(E_F) (states/eV/cell) | magnetic moment (μB per atom) |
| --- | --- | --- |
| 1 | 7.68 | 0.360 |
| 2 | 1.74 | 0.000 |
| 3 | 2.14 | 0.000 |
| 4 | 1.91 | 0.000 |
| 5 | 4.84 | 0.000 |
| 6 | 29.62 | 0.000 |
| 7 | 11.25 | 0.000 |
| 8 | 9.35 | 0.000 |